Record 1
# AuNCl4 | the Alexandria database | PBE | optimized geometry
data_AuNCl4
_chemical_formula_sum 'Au4 N4 Cl16'
_symmetry_space_group_name_H-M 'C 1 2/c 1'
_symmetry_Int_Tables_number 15
_cell_length_a 14.479
_cell_length_b 6.799
_cell_length_c 7.800
_cell_angle_alpha 90.00
_cell_angle_beta 111.53
_cell_angle_gamma 90.00
loop_
_symmetry_equiv_pos_as_xyz
'x,y,z'
'-x,-y,-z'
'-x,y,-z+1/2'
'x,-y,z+1/2'
'x+1/2,y+1/2,z'
'-x+1/2,-y+1/2,-z'
'-x+1/2,y+1/2,-z+1/2'
'x+1/2,-y+1/2,z+1/2'
loop_
_atom_site_label
_atom_site_type_symbol
_atom_site_fract_x
_atom_site_fract_y
_atom_site_fract_z
Au1 Au 0.250 0.250 0.000
N1 N 0.000 0.078 0.750
Cl1 Cl 0.060 0.216 0.937
Cl2 Cl 0.218 0.464 0.324
# Formation energy (no corrections): 342 meV/atom
# Magnetization: 0.0 μB per formula unit

---

Record 2
# AuN2Cl | the Alexandria database | PBE | optimized geometry
data_AuN2Cl
_chemical_formula_sum 'Au3 N6 Cl3'
_symmetry_space_group_name_H-M 'R -3 m'
_symmetry_Int_Tables_number 166
_symmetry_space_group_name_Hall '-R 3 2"'
_cell_length_a 3.3609
_cell_length_b 3.3609
_cell_length_c 17.3634
_cell_angle_alpha 90.00
_cell_angle_beta 90.00
_cell_angle_gamma 120.00
loop_
_atom_site_label
_atom_site_type_symbol
_atom_site_fract_x
_atom_site_fract_y
_atom_site_fract_z
Au1 Au 0.0000 0.0000 0.0000
N1 N 0.0000 0.0000 0.3877
Cl1 Cl 0.0000 0.0000 0.5000
# Formation energy (no corrections): 1330 meV/atom
# Distance to the lowest polymorph of the same formula: 1306.0 meV per atom
# Magnetization: 0.0 μB per formula unit